Compound: Be2AlCo
Source: Alexandria
Functional: PBE
Structure: optimized geometry

Output
ΔH_f (0 K): -0.20 eV per atom
Spin magnetization: 0.0 Bohr magnetons per cell
Space group: No. 99

a b c (Å): 2.7329 2.7329 5.4487
angles (deg): 90.00 90.00 90.00
Last column: nearest neighbours and their distance in Å.
Element x y z (fractional)
Be 0.0000 0.0000 0.0000  4 Be 2.25, 1 Co 2.29
Be 0.5000 0.5000 0.2105  4 Co 2.24, 4 Be 2.25
Al 0.5000 0.5000 0.6933  4 Co 2.44, 5 Be 2.55-2.63, 4 Al 2.73
Co 0.0000 0.0000 0.4197  5 Be 2.24-2.29, 4 Al 2.44

***

Compound: BeAl3Co4
Source: Alexandria
Functional: PBE
Structure: optimized geometry

Output
ΔH_f (0 K): -0.53 eV per atom
Spin magnetization: 0.0 Bohr magnetons per cell
Space group: No. 123

a b c (Å): 2.7988 2.7988 11.1243
angles (deg): 90.00 90.00 90.00
Last column: nearest neighbours and their distance in Å.
Element x y z (fractional)
Be 0.0000 0.0000 0.0000  8 Co 2.33
Al 0.0000 0.0000 0.2374  8 Co 2.43-2.47, 1 Be 2.64
Al 0.0000 0.0000 0.5000  8 Co 2.45
Al 0.0000 0.0000 0.7626  8 Co 2.43-2.47, 1 Be 2.64
Co 0.5000 0.5000 0.1107  4 Be 2.33, 4 Al 2.43, 1 Co 2.46
Co 0.5000 0.5000 0.3704  8 Al 2.45-2.47
Co 0.5000 0.5000 0.6296  8 Al 2.45-2.47
Co 0.5000 0.5000 0.8893  4 Be 2.33, 4 Al 2.43, 1 Co 2.46

***

Compound: BeAl3Co3
Source: Alexandria
Functional: PBE
Structure: optimized geometry

Output
ΔH_f (0 K): -0.43 eV per atom
Spin magnetization: 0.0 Bohr magnetons per cell
Space group: No. 65

a b c (Å): 5.5825 5.5825 5.4212
angles (deg): 90.00 90.00 92.06
Last column: nearest neighbours and their distance in Å.
Element x y z (fractional)
Be 0.2352 0.7648 0.0000  6 Co 2.29-2.33
Be 0.7648 0.2352 0.0000  6 Co 2.29-2.33
Al 0.2495 0.7505 0.5000  6 Co 2.40-2.46
Al 0.2542 0.2542 0.5000  6 Co 2.43-2.46, 2 Al 2.72
Al 0.2779 0.2779 0.0000  6 Co 2.40-2.51
Al 0.7221 0.7221 0.0000  6 Co 2.40-2.51
Al 0.7458 0.7458 0.5000  6 Co 2.43-2.46, 2 Al 2.72
Al 0.7505 0.2495 0.5000  6 Co 2.40-2.46
Co 0.0000 0.0000 0.2373  2 Be 2.29, 6 Al 2.43-2.51
Co 0.0000 0.0000 0.7627  2 Be 2.29, 6 Al 2.43-2.51
Co 0.0000 0.5000 0.2392  2 Be 2.33, 6 Al 2.40-2.46, 1 Co 2.59
Co 0.0000 0.5000 0.7608  2 Be 2.33, 6 Al 2.40-2.46, 1 Co 2.59
Co 0.5000 0.0000 0.2392  2 Be 2.33, 6 Al 2.40-2.46, 1 Co 2.59
Co 0.5000 0.0000 0.7608  2 Be 2.33, 6 Al 2.40-2.46, 1 Co 2.59

***

Compound: BeAlCo
Source: Alexandria
Functional: PBE
Structure: optimized geometry

Output
ΔH_f (0 K): 0.01 eV per atom
Spin magnetization: 0.8 Bohr magnetons per cell
Relative energy among the computed polymorphs: 1.14 eV/f.u.
Space group: No. 156

a b c (Å): 2.6257 2.6257 5.7551
angles (deg): 90.00 90.00 120.00
Last column: nearest neighbours and their distance in Å.
Element x y z (fractional)
Be 0.0000 0.0000 0.0000  3 Co 2.26
Al 0.3333 0.6667 0.6340  3 Co 2.49, 3 Be 2.60, 6 Al 2.63
Co 0.6667 0.3333 0.2918  3 Be 2.26, 3 Al 2.49

***

Compound: BeAl2Co
Source: Alexandria
Functional: PBE
Structure: optimized geometry

Output
ΔH_f (0 K): -0.09 eV per atom
Spin magnetization: 0.0 Bohr magnetons per cell
Space group: No. 216

a b c (Å): 5.7390 5.7390 5.7390
angles (deg): 90.00 90.00 90.00
Last column: nearest neighbours and their distance in Å.
Element x y z (fractional)
Be 0.0000 0.0000 0.0000  4 Co 2.49, 4 Al 2.49
Be 0.0000 0.5000 0.5000  4 Co 2.49, 4 Al 2.49
Be 0.5000 0.0000 0.5000  4 Co 2.49, 4 Al 2.49
Be 0.5000 0.5000 0.0000  4 Co 2.49, 4 Al 2.49
Al 0.0000 0.0000 0.5000  4 Co 2.49, 4 Al 2.49
Al 0.0000 0.5000 0.0000  4 Co 2.49, 4 Al 2.49
Al 0.2500 0.2500 0.7500  4 Be 2.49, 4 Al 2.49
Al 0.2500 0.7500 0.2500  4 Be 2.49, 4 Al 2.49
Al 0.5000 0.0000 0.0000  4 Co 2.49, 4 Al 2.49
Al 0.5000 0.5000 0.5000  4 Co 2.49, 4 Al 2.49
Al 0.7500 0.2500 0.2500  4 Be 2.49, 4 Al 2.49
Al 0.7500 0.7500 0.7500  4 Be 2.49, 4 Al 2.49
Co 0.2500 0.2500 0.2500  4 Al 2.49, 4 Be 2.49
Co 0.2500 0.7500 0.7500  4 Be 2.49, 4 Al 2.49
Co 0.7500 0.2500 0.7500  4 Be 2.49, 4 Al 2.49
Co 0.7500 0.7500 0.2500  4 Be 2.49, 4 Al 2.49

***

Compound: BeAlCo
Source: Alexandria
Functional: PBE
Structure: optimized geometry

Output
ΔH_f (0 K): 0.00 eV per atom
Spin magnetization: 0.0 Bohr magnetons per cell
Relative energy among the computed polymorphs: 1.09 eV/f.u.
Space group: No. 216

a b c (Å): 5.2387 5.2387 5.2387
angles (deg): 90.00 90.00 90.00
Last column: nearest neighbours and their distance in Å.
Element x y z (fractional)
Be 0.0000 0.0000 0.0000  4 Co 2.27, 4 Al 2.27
Be 0.0000 0.5000 0.5000  4 Co 2.27, 4 Al 2.27
Be 0.5000 0.0000 0.5000  4 Co 2.27, 4 Al 2.27
Be 0.5000 0.5000 0.0000  4 Co 2.27, 4 Al 2.27
Al 0.2500 0.2500 0.2500  4 Be 2.27
Al 0.2500 0.7500 0.7500  4 Be 2.27
Al 0.7500 0.2500 0.7500  4 Be 2.27
Al 0.7500 0.7500 0.2500  4 Be 2.27
Co 0.2500 0.2500 0.7500  4 Be 2.27
Co 0.2500 0.7500 0.2500  4 Be 2.27
Co 0.7500 0.2500 0.2500  4 Be 2.27
Co 0.7500 0.7500 0.7500  4 Be 2.27

***

Compound: Be5AlCo6
Source: Alexandria
Functional: PBE
Structure: optimized geometry

Output
ΔH_f (0 K): -0.33 eV per atom
Spin magnetization: 1.9 Bohr magnetons per cell
Space group: No. 10

a b c (Å): 3.7415 5.2992 5.9042
angles (deg): 90.00 108.39 90.00
Last column: nearest neighbours and their distance in Å.
Element x y z (fractional)
Be 0.0000 0.0000 0.0000  8 Co 2.25-2.33
Be 0.3365 0.0000 0.6730  8 Co 2.22-2.27
Be 0.3361 0.5000 0.6718  8 Co 2.28-2.32
Be 0.6635 0.0000 0.3270  8 Co 2.22-2.27
Be 0.6639 0.5000 0.3282  8 Co 2.28-2.32
Al 0.0000 0.5000 0.0000  8 Co 2.34-2.38
Co 0.1735 0.2422 0.3468  7 Be 2.23-2.33, 1 Al 2.38
Co 0.1735 0.7578 0.3468  7 Be 2.23-2.33, 1 Al 2.38
Co 0.5000 0.2358 0.0000  6 Be 2.22-2.31, 2 Al 2.34
Co 0.5000 0.7642 0.0000  6 Be 2.22-2.31, 2 Al 2.34
Co 0.8265 0.2422 0.6532  7 Be 2.23-2.33, 1 Al 2.38
Co 0.8265 0.7578 0.6532  7 Be 2.23-2.33, 1 Al 2.38

***

Compound: Be2AlCo
Source: Alexandria
Functional: PBE
Structure: optimized geometry

Output
ΔH_f (0 K): -0.04 eV per atom
Spin magnetization: 0.2 Bohr magnetons per cell
Space group: No. 12

a b c (Å): 4.7095 7.7997 2.4955
angles (deg): 90.00 114.90 90.00
Last column: nearest neighbours and their distance in Å.
Element x y z (fractional)
Be 0.2500 0.2500 0.0000  2 Co 2.35, 2 Al 2.35, 6 Be 2.35-2.61
Be 0.2500 0.7500 0.0000  2 Co 2.35, 2 Al 2.35, 6 Be 2.35-2.61
Be 0.7500 0.2500 0.0000  2 Co 2.35, 2 Al 2.35, 6 Be 2.35-2.61
Be 0.7500 0.7500 0.0000  2 Co 2.35, 2 Al 2.35, 6 Be 2.35-2.61
Al 0.0000 0.0000 0.5000  4 Be 2.35, 4 Co 2.35-2.61, 2 Al 2.50
Al 0.5000 0.5000 0.5000  4 Be 2.35, 4 Co 2.35-2.61, 2 Al 2.50
Co 0.0000 0.5000 0.5000  4 Be 2.35, 4 Al 2.35-2.61, 2 Co 2.50
Co 0.5000 0.0000 0.5000  4 Be 2.35, 4 Al 2.35-2.61, 2 Co 2.50